Record 1
VASP calculation (PBE) on a relaxed structure of SrMgMo4.

Summary:
E: -43.0 eV/cell
total moment: 0.00 μB/cell
E_form: 606 meV/atom
space group: No. 216

a = 5.506 Å, b = 5.506 Å, c = 5.506 Å
α = 60.00°, β = 60.00°, γ = 60.00°
Atoms (fractional coordinates):
Sr  0.000  0.000  0.000
Mg  0.750  0.750  0.750
Mo  0.375  0.375  0.375
Mo  0.375  0.375  0.876
Mo  0.375  0.876  0.375
Mo  0.876  0.375  0.375


Record 2
VASP calculation (PBE) on a relaxed structure of SrMg4Mo.

Summary:
E: -16.4 eV/cell
total moment: 3.74 μB/cell
E_form: 408 meV/atom
space group: No. 216

a = 5.939 Å, b = 5.939 Å, c = 5.939 Å
α = 60.00°, β = 60.00°, γ = 60.00°
Atoms (fractional coordinates):
Sr  0.000  0.000  0.000
Mg  0.129  0.624  0.624
Mg  0.624  0.129  0.624
Mg  0.624  0.624  0.129
Mg  0.624  0.624  0.624
Mo  0.250  0.250  0.250


Record 3
VASP calculation (PBE) on a relaxed structure of Sr3MgMo.

Summary:
E: -11.8 eV/cell
total moment: 4.56 μB/cell
E_form: 1137 meV/atom
space group: No. 221

a = 6.284 Å, b = 6.284 Å, c = 6.284 Å
α = 90.00°, β = 90.00°, γ = 90.00°
Atoms (fractional coordinates):
Sr  0.000  0.000  0.500
Sr  0.000  0.500  0.000
Sr  0.500  0.000  0.000
Mg  0.000  0.000  0.000
Mo  0.500  0.500  0.500


Record 4
VASP calculation (PBE) on a relaxed structure of SrMgMo3.

Summary:
E: -25.9 eV/cell
total moment: 4.85 μB/cell
E_form: 1978 meV/atom
space group: No. 221
energy above the lowest structure with this stoichiometry: 0.0000 eV per atom

a = 4.893 Å, b = 4.893 Å, c = 4.893 Å
α = 90.00°, β = 90.00°, γ = 90.00°
Atoms (fractional coordinates):
Sr  0.000  0.000  0.000
Mg  0.500  0.500  0.500
Mo  0.000  0.500  0.500
Mo  0.500  0.000  0.500
Mo  0.500  0.500  0.000


Record 5
VASP calculation (PBE) on a relaxed structure of SrMg14Mo.

Summary:
E: -32.3 eV/cell
total moment: 2.40 μB/cell
E_form: 158 meV/atom
space group: No. 38
energy above the lowest structure with this stoichiometry: 0.0034 eV per atom

a = 10.463 Å, b = 6.504 Å, c = 6.504 Å
α = 58.49°, β = 90.00°, γ = 90.00°
Atoms (fractional coordinates):
Sr  0.000  0.000  0.000
Mg  0.000  0.001  0.495
Mg  0.000  0.495  0.001
Mg  0.227  0.640  0.640
Mg  0.250  0.159  0.639
Mg  0.250  0.639  0.159
Mg  0.268  0.154  0.154
Mg  0.500  0.488  0.488
Mg  0.500  0.493  0.982
Mg  0.500  0.982  0.493
Mg  0.500  0.983  0.983
Mg  0.732  0.154  0.154
Mg  0.750  0.159  0.639
Mg  0.750  0.639  0.159
Mg  0.773  0.640  0.640
Mo  0.000  0.477  0.477


Record 6
VASP calculation (PBE) on a relaxed structure of Sr2MgMo.

Summary:
E: -13.0 eV/cell
total moment: 2.51 μB/cell
E_form: 702 meV/atom
space group: No. 6

a = 4.022 Å, b = 5.068 Å, c = 6.780 Å
α = 90.00°, β = 107.24°, γ = 90.00°
Atoms (fractional coordinates):
Sr  0.000  0.000  0.000
Sr  0.303  0.500  0.607
Mg  0.599  0.500  0.194
Mo  0.707  0.000  0.416